This record from the Alexandria database describes a relaxed structure of Ac2TlNiO6. The functional is GGA+U.

**Mass density**: 9.26 g cm⁻³
**Raw total energy**: -125.44 eV for the cell shown

Cell: 5.849 5.965 10.083 Å, 90.00 124.02 90.00°
Sites, in units of the cell vectors:
Ac 0.235 0.049 0.248
Ac 0.235 0.451 0.748
Ac 0.765 0.549 0.252
Ac 0.765 0.951 0.752
Tl 0.500 0.000 0.000
Tl 0.500 0.500 0.500
Ni 0.000 0.000 0.500
Ni 0.000 0.500 0.000
O 0.135 0.224 0.947
O 0.135 0.276 0.447
O 0.223 0.692 0.949
O 0.223 0.808 0.449
O 0.337 0.033 0.740
O 0.337 0.467 0.240
O 0.663 0.533 0.760
O 0.663 0.967 0.260
O 0.777 0.192 0.551
O 0.777 0.308 0.051
O 0.865 0.724 0.553
O 0.865 0.776 0.053